No. 1
Material: SrPmTe2O8
Method: DFT, GGA-PBE
State: optimized geometry

The space group is I-4 (No. 82) and the conventional cell measures 5.4667, 5.4667 and 11.8251 Å, with angles of 90.00, 90.00 and 90.00 degrees. Symmetry generates all atoms from Sr at (0.0000, 0.0000, 0.0000), Pm at (0.0000, 0.5000, 0.7500), Te at (0.0000, 0.0000, 0.5000), Te at (0.0000, 0.5000, 0.2500), O at (0.1553, 0.2545, 0.5913) and O at (0.1667, 0.7402, 0.1690).

As for the theoretical density: 5.79 g cm⁻³. The value obtained for the raw formation energy is -1829 meV per atom.

---

No. 2
Material: PuThSc
Method: DFT, GGA-PBE
State: optimized geometry

The space group is I4mm (No. 107) and the conventional cell measures 3.4828, 3.4828 and 13.5601 Å, with angles of 90.00, 90.00 and 90.00 degrees. Symmetry generates all atoms from Pu at (0.0000, 0.0000, 0.0000), Th at (0.0000, 0.0000, 0.6649) and Sc at (0.0000, 0.0000, 0.3344).

Its distance to the lowest polymorph of the same formula is 0.0 kJ/mol of atoms. As for the formation energy: 0.1128 eV/atom. As for the theoretical density: 10.52 g cm⁻³.

---

No. 3
Material: Na2Li2Hg
Method: DFT, GGA-PBE
State: optimized geometry

The space group is I4/mmm (No. 139) and the conventional cell measures 3.8792, 3.8792 and 18.2135 Å, with angles of 90.00, 90.00 and 90.00 degrees. Symmetry generates all atoms from Na at (0.0000, 0.0000, 0.0995), Li at (0.0000, 0.5000, 0.2500) and Hg at (0.0000, 0.0000, 0.5000).

Its distance to the lowest polymorph of the same formula is 9.4 kJ/mol of atoms. As for the formation energy: 0.0004 eV/atom. As for the theoretical density: 3.16 g cm⁻³.

---

- Look up the theoretical density of the first one.
  5.79 g cm⁻³